#1
First-principles (PBE) data for crystalline YNbC at its relaxed geometry, as listed in the Alexandria database.

Geometry as CIF:
```
data_YNbC
_chemical_formula_sum 'Y8 Nb8 C8'
_cell_length_a 17.804
_cell_length_b 4.345
_cell_length_c 6.710
_cell_angle_alpha 90.00
_cell_angle_beta 103.68
_cell_angle_gamma 90.00
_space_group_name_H-M_alt 'C 1 2/m 1'
_space_group_IT_number 12
_space_group_name_Hall '-C 2y'
loop_
_atom_site_label
_atom_site_type_symbol
_atom_site_fract_x
_atom_site_fract_y
_atom_site_fract_z
Y1 Y 0.070 0.000 0.270
Y2 Y 0.097 0.500 0.768
Nb1 Nb 0.216 0.000 0.093
Nb2 Nb 0.229 0.000 0.620
C1 C 0.195 0.500 0.083
C2 C 0.205 0.500 0.604
```

---

#2
First-principles (PBE) data for crystalline YNbC at its relaxed geometry, as listed in the Alexandria database.

Geometry as CIF:
```
data_YNbC
_chemical_formula_sum 'Y1 Nb1 C1'
_cell_length_a 3.3203
_cell_length_b 3.3203
_cell_length_c 5.5261
_cell_angle_alpha 90.00
_cell_angle_beta 90.00
_cell_angle_gamma 120.00
_space_group_name_H-M_alt 'P 3 m 1'
_space_group_IT_number 156
_space_group_name_Hall 'P 3 -2"'
loop_
_atom_site_label
_atom_site_type_symbol
_atom_site_fract_x
_atom_site_fract_y
_atom_site_fract_z
Y1 Y 0.0000 0.0000 0.0000
Nb1 Nb 0.3333 0.6667 0.4770
C1 C 0.6667 0.3333 0.2872
```

---

Name the most stable of them. #2.